[1]
Here is Er2LuCu4Ge4 after structural relaxation from OQMD. Energies are from PBE.

abc: 4.1609 6.6248 13.8112
angles: 90.00 90.00 90.00
Closest atoms and distances in Å follow each position.
Space group Immm (No. 71)
Asymmetric unit:
Er  0.0000  0.0000  0.1293  6 Cu 2.97-3.05, 6 Ge 2.98-3.03
Lu  0.0000  0.5000  0.0000  6 Ge 2.91-2.98
Cu  0.0000  0.1916  0.3302  4 Ge 2.47-2.58, 1 Cu 2.54
Ge  0.0000  0.3066  0.5000  2 Cu 2.47, 1 Ge 2.56
Ge  0.0000  0.5000  0.2161  6 Cu 2.52-2.58

Calculated values
E = -4.888 eV per atom
V = 17.30 Å³ per atom

---

[2]
Here is ErLu2Cu4Ge4 after structural relaxation from OQMD. Energies are from PBE.

abc: 4.1356 6.6315 13.7616
angles: 90.00 90.00 90.00
Closest atoms and distances in Å follow each position.
Space group Immm (No. 71)
Asymmetric unit:
Er  0.0000  0.0000  0.0000  6 Ge 2.91-2.98
Lu  0.0000  0.5000  0.1292  6 Cu 2.96-3.04, 6 Ge 2.96-3.01
Cu  0.0000  0.3080  0.3301  4 Ge 2.46-2.57, 1 Cu 2.55
Ge  0.0000  0.0000  0.2169  6 Cu 2.51-2.57
Ge  0.0000  0.1917  0.5000  2 Cu 2.46, 1 Ge 2.54

Calculated values
E = -4.881 eV per atom
V = 17.16 Å³ per atom

---

The highest E belongs to which entry?
ErLu2Cu4Ge4

---

Among the records above, which one has the highest V?
Er2LuCu4Ge4